First-principles (PBE-GGA) data for a geometry-optimized La4NdMg structure, as listed in the Alexandria database.

a = 6.324 Å, b = 6.324 Å, c = 12.377 Å
α = 104.97°, β = 104.97°, γ = 60.12°
Fractional positions:
La: 0.160 0.678 0.501
La: 0.253 0.412 0.750
La: 0.322 0.840 0.999
La: 0.412 0.253 0.250
La: 0.588 0.747 0.750
La: 0.678 0.160 0.001
La: 0.747 0.588 0.250
La: 0.840 0.322 0.499
Nd: 0.000 0.500 0.000
Nd: 0.500 0.000 0.500
Mg: 0.084 0.916 0.250
Mg: 0.916 0.084 0.750

Output
Volume in A^3/atom: 34.14
E in eV/atom: -4.353
Energy relative to the elements in kJ/mol of atoms: -1
Excess energy over the best structure of this formula in the dataset in meV/atom: 22

=====

First-principles (PBE-GGA) data for a geometry-optimized PrSmHgTe structure, as listed in the Alexandria database.

a = 4.320 Å, b = 4.320 Å, c = 23.480 Å
α = 90.00°, β = 90.00°, γ = 120.00°
Fractional positions:
Pr: 0.000 0.000 0.000
Pr: 0.333 0.667 0.667
Pr: 0.667 0.333 0.333
Sm: 0.000 0.000 0.498
Sm: 0.333 0.667 0.165
Sm: 0.667 0.333 0.831
Hg: 0.000 0.000 0.247
Hg: 0.333 0.667 0.914
Hg: 0.667 0.333 0.580
Te: 0.000 0.000 0.751
Te: 0.333 0.667 0.418
Te: 0.667 0.333 0.084

Output
Volume in A^3/atom: 31.62
E in eV/atom: -4.150
Energy relative to the elements, uncorrected in eV per atom: -0.915

=====

First-principles (PBE-GGA) data for a geometry-optimized RbPu2HgTe4 structure, as listed in the Alexandria database.

a = 8.166 Å, b = 8.166 Å, c = 16.015 Å
α = 90.00°, β = 90.00°, γ = 147.43°
Fractional positions:
Rb: 0.128 0.872 0.750
Rb: 0.872 0.128 0.250
Pu: 0.373 0.627 0.562
Pu: 0.373 0.627 0.938
Pu: 0.627 0.373 0.062
Pu: 0.627 0.373 0.438
Hg: 0.157 0.843 0.250
Hg: 0.843 0.157 0.750
Te: 0.000 0.000 0.000
Te: 0.000 0.000 0.500
Te: 0.261 0.739 0.104
Te: 0.261 0.739 0.396
Te: 0.452 0.548 0.750
Te: 0.548 0.452 0.250
Te: 0.739 0.261 0.604
Te: 0.739 0.261 0.896

Output
Volume in A^3/atom: 35.93
E in eV/atom: -6.135
Energy relative to the elements, uncorrected in eV per atom: -0.823

=====

First-principles (PBE-GGA) data for a geometry-optimized Dy2AgPb structure, as listed in the Alexandria database.

a = 6.247 Å, b = 4.679 Å, c = 7.866 Å
α = 90.00°, β = 109.98°, γ = 90.00°
Fractional positions:
Dy: 0.193 0.250 0.435
Dy: 0.216 0.250 0.914
Dy: 0.784 0.750 0.086
Dy: 0.807 0.750 0.565
Ag: 0.339 0.750 0.703
Ag: 0.661 0.250 0.297
Pb: 0.323 0.750 0.209
Pb: 0.677 0.250 0.791

Output
Volume in A^3/atom: 27.01
E in eV/atom: -4.334
Energy relative to the elements in kJ/mol of atoms: -38

=====

First-principles (PBE-GGA) data for a geometry-optimized Fe2ReCl structure, as listed in the Alexandria database.

a = 2.790 Å, b = 2.823 Å, c = 7.385 Å
α = 90.00°, β = 90.00°, γ = 90.00°
Fractional positions:
Fe: 0.000 0.000 0.232
Fe: 0.000 0.000 0.768
Re: 0.500 0.500 0.000
Cl: 0.500 0.000 0.500

Output
Volume in A^3/atom: 14.54
E in eV/atom: -7.531
Energy relative to the elements, uncorrected in eV per atom: 0.274
Excess energy over the best structure of this formula in the dataset in meV/atom: 0